Entry 1:
DFT (PBEsol) results for a relaxed structure of Nb3SnS.

* density of states at the Fermi level: 11.45 states/eV/f.u.
* density: 5.7 g/cm³
* raw formation energy: 9.879 eV/f.u.

The structure in extended XYZ format:
```
5
Lattice="5.015 0.000 0.000 0.000 5.015 0.000 0.000 0.000 5.015" Properties=species:S:1:pos:R:3 pbc="T T T"
Nb 0.000 0.000 2.508
Nb 0.000 2.508 0.000
Nb 2.508 0.000 0.000
Sn 0.000 0.000 0.000
S 2.508 2.508 2.508
```


Entry 2:
DFT (PBEsol) results for a relaxed structure of CrSbH2.

* density of states at the Fermi level: 1.87 states/eV/f.u.
* E: -4.567 eV/atom
* density: 6.4 g/cm³

The structure in extended XYZ format:
```
4
Lattice="0.000 2.835 2.835 2.835 0.000 2.835 2.835 2.835 0.000" Properties=species:S:1:pos:R:3 pbc="T T T"
Cr 0.000 0.000 0.000
Sb 2.835 2.835 2.835
H 1.418 1.418 1.418
H 4.253 4.253 4.253
```


Entry 3:
DFT (PBEsol) results for a relaxed structure of AsRhAu4.

* density of states at the Fermi level: 4.44 states/eV/f.u.
* energy of formation from the pure elements: 0.481 eV/atom
* density: 14.9 g/cm³

The structure in extended XYZ format:
```
6
Lattice="0.000 3.771 3.771 3.771 0.000 3.771 3.771 3.771 0.000" Properties=species:S:1:pos:R:3 pbc="T T T"
As 0.000 0.000 0.000
Rh 5.657 5.657 5.657
Au 2.830 2.830 2.830
Au 4.712 4.712 2.830
Au 4.712 2.830 4.712
Au 2.830 4.712 4.712
```


Entry 4:
DFT (PBEsol) results for a relaxed structure of MgGe2As2.

* density of states at the Fermi level: 1.46 states/eV/f.u.
* energy of formation from the pure elements: 0.130 eV/atom
* density: 5.0 g/cm³

The structure in extended XYZ format:
```
5
Lattice="-2.567 2.567 4.014 2.567 -2.567 4.014 2.567 2.567 -4.014" Properties=species:S:1:pos:R:3 pbc="T T T"
Mg 0.000 0.000 0.000
Ge 2.567 0.000 2.007
Ge 0.000 2.567 2.007
As 0.000 0.000 2.683
As 0.000 0.000 5.346
```


Entry 5:
DFT (PBEsol) results for a relaxed structure of TlP2Au.

* density of states at the Fermi level: 0.91 states/eV/f.u.
* offset from the most stable computed form: 0.000 eV per atom
* energy of formation from the pure elements: -0.032 eV/atom
* density: 9.0 g/cm³

The structure in extended XYZ format:
```
4
Lattice="4.354 0.000 0.000 0.000 3.827 0.000 -1.177 0.000 5.148" Properties=species:S:1:pos:R:3 pbc="T T T"
Tl 0.000 0.000 0.000
P 0.244 1.914 3.273
P 2.933 1.914 1.875
Au 1.589 0.000 2.574
```


Entry 6:
DFT (PBEsol) results for a relaxed structure of CaZrAsBr2.

* density of states at the Fermi level: 1.93 states/eV/f.u.
* density: 4.3 g/cm³
* raw formation energy: -4.272 eV/f.u.

The structure in extended XYZ format:
```
5
Lattice="5.166 0.000 0.000 0.000 5.166 0.000 0.000 0.000 5.305" Properties=species:S:1:pos:R:3 pbc="T T T"
Ca 0.000 0.000 0.000
Zr 2.583 2.583 2.652
As 2.583 2.583 0.000
Br 0.000 2.583 2.652
Br 2.583 0.000 2.652
```